Entry 1:
This record from Alexandria describes crystalline Er4Al16Ni3 at its relaxed geometry. The functional is PBE-GGA.

Calculated values
Total DFT energy (no corrections), eV per cell: -106.46

Unit cell a=6.0396 b=6.0396 c=11.0390 alpha=90.00 beta=90.00 gamma=90.00
With the nearest neighbours (Å) after each atom.
Element x y z (fractional)
Ni1 0.0000 0.0000 0.0000  6 Al 2.38-2.43
Al1 0.7456 0.2544 0.3807  2 Ni 2.51, 2 Al 2.63-2.80
Al2 0.2789 0.2789 0.0000  1 Ni 2.38
Al3 0.7211 0.2789 0.0000  1 Ni 2.38
Ni2 0.0000 0.5000 0.5000  8 Al 2.51
Er1 0.5000 0.0000 0.8094  12 Al 2.99-3.04
Al4 0.2789 0.7211 0.0000  1 Ni 2.38
Al5 0.7456 0.7456 0.3807  2 Ni 2.51, 2 Al 2.63-2.80
Al6 0.2544 0.2544 0.6193  2 Ni 2.51, 2 Al 2.63-2.80
Al7 0.7456 0.2544 0.6193  2 Ni 2.51, 2 Al 2.63-2.80
Er2 0.0000 0.5000 0.1906  12 Al 2.99-3.04
Al8 0.0000 0.0000 0.7798  1 Ni 2.43
Al9 0.2544 0.7456 0.6193  2 Ni 2.51, 2 Al 2.63-2.80
Al10 0.2544 0.2544 0.3807  2 Ni 2.51, 2 Al 2.63-2.80
Er3 0.5000 0.0000 0.1906  12 Al 2.99-3.04
Al11 0.5000 0.5000 0.8026  8 Al 2.88-2.91, 4 Er 3.02
Ni3 0.5000 0.0000 0.5000  8 Al 2.51
Al12 0.2544 0.7456 0.3807  2 Ni 2.51, 2 Al 2.63-2.80
Al13 0.0000 0.0000 0.2202  1 Ni 2.43
Al14 0.7456 0.7456 0.6193  2 Ni 2.51, 2 Al 2.63-2.80
Al15 0.5000 0.5000 0.1974  8 Al 2.88-2.91, 4 Er 3.02
Er4 0.0000 0.5000 0.8094  12 Al 2.99-3.04
Al16 0.7211 0.7211 0.0000  1 Ni 2.38


Entry 2:
This record from Alexandria describes crystalline ErAl4Ni2 at its relaxed geometry. The functional is PBE-GGA.

Calculated values
Total DFT energy (no corrections), eV per cell: -140.65

Unit cell a=4.1176 b=6.3903 c=16.7708 alpha=90.00 beta=90.00 gamma=90.00
With the nearest neighbours (Å) after each atom.
Element x y z (fractional)
Ni1 0.2500 0.5302 0.2835  7 Al 2.41-2.49
Ni2 0.7500 0.0302 0.2165  7 Al 2.41-2.49
Al1 0.7500 0.8373 0.4679  3 Ni 2.44-2.59
Ni3 0.2500 0.9698 0.7835  7 Al 2.41-2.49
Al2 0.7500 0.3258 0.3125  4 Ni 2.48-2.53, 1 Al 2.58
Al3 0.2500 0.2705 0.6963  3 Ni 2.41-2.44, 1 Al 2.58
Er1 0.7500 0.9808 0.6393  9 Al 2.93-3.16, 4 Ni 3.00-3.18
Al4 0.2500 0.3373 0.0321  3 Ni 2.44-2.59
Al5 0.2500 0.6742 0.6875  4 Ni 2.48-2.53, 1 Al 2.58
Al6 0.2500 0.5030 0.4280  4 Ni 2.43-2.70
Ni4 0.2500 0.7577 0.5404  7 Al 2.44-2.70
Al7 0.2500 0.8258 0.1875  4 Ni 2.48-2.53, 1 Al 2.58
Er2 0.2500 0.0192 0.3607  9 Al 2.93-3.16, 4 Ni 3.00-3.18
Al8 0.7500 0.0030 0.0720  4 Ni 2.43-2.70
Al9 0.7500 0.7295 0.3037  3 Ni 2.41-2.44, 1 Al 2.58
Al10 0.2500 0.1627 0.5321  3 Ni 2.44-2.59
Er3 0.2500 0.4808 0.8607  9 Al 2.93-3.16, 4 Ni 3.00-3.18
Al11 0.7500 0.7705 0.8037  3 Ni 2.41-2.44, 1 Al 2.58
Al12 0.7500 0.4970 0.5720  4 Ni 2.43-2.70
Ni5 0.7500 0.2577 0.9596  7 Al 2.44-2.70
Ni6 0.2500 0.7423 0.0404  7 Al 2.44-2.70
Al13 0.2500 0.9970 0.9280  4 Ni 2.43-2.70
Ni7 0.7500 0.4698 0.7165  7 Al 2.41-2.49
Er4 0.7500 0.5192 0.1393  9 Al 2.93-3.16, 4 Ni 3.00-3.18
Al14 0.7500 0.6627 0.9679  3 Ni 2.44-2.59
Ni8 0.7500 0.2423 0.4596  7 Al 2.44-2.70
Al15 0.2500 0.2295 0.1963  3 Ni 2.41-2.44, 1 Al 2.58
Al16 0.7500 0.1742 0.8125  4 Ni 2.48-2.53, 1 Al 2.58


Entry 3:
This record from Alexandria describes crystalline Er3Al2Ni6 at its relaxed geometry. The functional is PBE-GGA.

Calculated values
Total DFT energy (no corrections), eV per cell: -124.66

Unit cell a=7.6864 b=7.6864 c=7.6864 alpha=109.47 beta=109.47 gamma=109.47
With the nearest neighbours (Å) after each atom.
Element x y z (fractional)
Er1 0.2928 0.0000 0.2928  8 Ni 2.77-2.99
Er2 0.7072 0.7072 0.0000  8 Ni 2.77-2.99
Ni1 0.6654 0.0000 0.3346  2 Al 2.46, 4 Ni 2.56
Ni2 0.3346 0.6692 0.3346  2 Al 2.46, 4 Ni 2.56
Ni3 0.3346 0.0000 0.6654  2 Al 2.46, 4 Ni 2.56
Al1 0.5000 0.5000 0.5000  6 Ni 2.46
Er3 0.2928 0.2928 0.0000  8 Ni 2.77-2.99
Ni4 0.3308 0.6654 0.6654  2 Al 2.46, 4 Ni 2.56
Ni5 0.6692 0.3346 0.3346  2 Al 2.46, 4 Ni 2.56
Ni6 0.0000 0.6654 0.3346  2 Al 2.46, 4 Ni 2.56
Al2 0.5000 0.0000 0.0000  6 Ni 2.46
Er4 0.7072 0.0000 0.7072  8 Ni 2.77-2.99
Ni7 0.6654 0.6654 0.3308  2 Al 2.46, 4 Ni 2.56
Ni8 0.3346 0.3346 0.6692  2 Al 2.46, 4 Ni 2.56
Al3 0.0000 0.5000 0.0000  6 Ni 2.46
Ni9 0.6654 0.3346 0.0000  2 Al 2.46, 4 Ni 2.56
Al4 0.0000 0.0000 0.5000  6 Ni 2.46
Ni10 0.0000 0.3346 0.6654  2 Al 2.46, 4 Ni 2.56
Er5 0.0000 0.2928 0.2928  8 Ni 2.77-2.99
Er6 0.0000 0.7072 0.7072  8 Ni 2.77-2.99
Ni11 0.3346 0.6654 0.0000  2 Al 2.46, 4 Ni 2.56
Ni12 0.6654 0.3308 0.6654  2 Al 2.46, 4 Ni 2.56


Entry 4:
This record from Alexandria describes crystalline ErAl6Ni6 at its relaxed geometry. The functional is PBE-GGA.

Calculated values
Total DFT energy (no corrections), eV per cell: -69.44

Unit cell a=4.9426 b=6.4787 c=6.4787 alpha=79.78 beta=67.58 gamma=67.58
With the nearest neighbours (Å) after each atom.
Element x y z (fractional)
Ni1 0.5000 0.2334 0.7666  4 Ni 2.49, 6 Al 2.56-2.63
Al1 0.3470 0.6530 0.6530  6 Ni 2.56-2.58, 3 Al 2.64-2.81
Al2 0.0000 0.3407 0.6593  6 Ni 2.60-2.63, 1 Al 2.65, 1 Er 2.83
Ni2 0.0000 0.5000 0.0000  6 Al 2.47-2.60, 4 Ni 2.47-2.49
Al3 0.6530 0.3470 0.3470  6 Ni 2.56-2.58, 3 Al 2.64-2.81
Er1 0.0000 0.0000 0.0000  8 Al 2.83-2.99, 4 Ni 3.14
Ni3 0.5000 0.0000 0.5000  6 Al 2.47-2.60, 4 Ni 2.47-2.49
Ni4 0.5000 0.7666 0.2334  4 Ni 2.49, 6 Al 2.56-2.63
Al4 0.6932 0.8068 0.8068  6 Ni 2.47-2.56
Ni5 0.0000 0.0000 0.5000  6 Al 2.47-2.60, 4 Ni 2.47-2.49
Al5 0.3068 0.1932 0.1932  6 Ni 2.47-2.56
Al6 0.0000 0.6593 0.3407  6 Ni 2.60-2.63, 1 Al 2.65, 1 Er 2.83
Ni6 0.5000 0.5000 0.0000  6 Al 2.47-2.60, 4 Ni 2.47-2.49


Entry 5:
This record from Alexandria describes crystalline Er3Al4Ni4 at its relaxed geometry. The functional is PBE-GGA.

Calculated values
Total DFT energy (no corrections), eV per cell: -56.65

Unit cell a=6.3764 b=6.3764 c=6.3764 alpha=109.47 beta=109.47 gamma=109.47
With the nearest neighbours (Å) after each atom.
Element x y z (fractional)
Al1 0.7331 0.7331 0.7331  4 Ni 2.29-2.42
Ni1 0.0000 0.6260 0.0000  4 Al 2.29-2.42
Ni2 0.0000 0.0000 0.6260  4 Al 2.29-2.42
Er1 0.5000 0.5000 0.0000  4 Ni 3.02, 4 Al 3.04
Ni3 0.6260 0.0000 0.0000  4 Al 2.29-2.42
Ni4 0.3740 0.3740 0.3740  4 Al 2.29-2.42
Er2 0.5000 0.0000 0.5000  4 Ni 3.02, 4 Al 3.04
Al2 0.2669 0.0000 0.0000  4 Ni 2.29-2.42
Er3 0.0000 0.5000 0.5000  4 Ni 3.02, 4 Al 3.04
Al3 0.0000 0.0000 0.2669  4 Ni 2.29-2.42
Al4 0.0000 0.2669 0.0000  4 Ni 2.29-2.42


Entry 6:
This record from Alexandria describes crystalline ErAl2Ni3 at its relaxed geometry. The functional is PBE-GGA.

Calculated values
Total DFT energy (no corrections), eV per cell: -65.07

Unit cell a=5.2083 b=5.9807 c=5.9807 alpha=102.17 beta=90.00 gamma=90.00
With the nearest neighbours (Å) after each atom.
Element x y z (fractional)
Al1 0.0000 0.2182 0.7818  6 Ni 2.39-2.61, 2 Al 2.60
Ni1 0.2500 0.5600 0.8608  1 Ni 2.36, 4 Al 2.39-2.61
Er1 0.2500 0.3234 0.3234  5 Ni 2.70-2.97
Ni2 0.7500 0.0363 0.0363  2 Ni 2.36, 4 Al 2.43
Al2 0.0000 0.7818 0.2182  6 Ni 2.39-2.61, 2 Al 2.60
Ni3 0.7500 0.4400 0.1392  1 Ni 2.36, 4 Al 2.39-2.61
Er2 0.7500 0.6766 0.6766  5 Ni 2.70-2.97
Ni4 0.2500 0.9637 0.9637  2 Ni 2.36, 4 Al 2.43
Ni5 0.7500 0.1392 0.4400  1 Ni 2.36, 4 Al 2.39-2.61
Al3 0.5000 0.2182 0.7818  6 Ni 2.39-2.61, 2 Al 2.60
Al4 0.5000 0.7818 0.2182  6 Ni 2.39-2.61, 2 Al 2.60
Ni6 0.2500 0.8608 0.5600  1 Ni 2.36, 4 Al 2.39-2.61


Entry 7:
This record from Alexandria describes crystalline ErAlNi2 at its relaxed geometry. The functional is PBE-GGA.

Calculated values
Total DFT energy (no corrections), eV per cell: -21.48

Unit cell a=3.2110 b=4.3886 c=4.3886 alpha=90.00 beta=90.00 gamma=90.00
With the nearest neighbours (Å) after each atom.
Element x y z (fractional)
Er1 0.5000 0.5000 0.5000  8 Ni 2.72
Ni1 0.0000 0.5000 0.0000  4 Er 2.72, 4 Al 2.72
Ni2 0.0000 0.0000 0.5000  4 Er 2.72, 4 Al 2.72
Al1 0.5000 0.0000 0.0000  8 Ni 2.72


Entry 8:
This record from Alexandria describes crystalline Er3AlNi8 at its relaxed geometry. The functional is PBE-GGA.

Calculated values
Total DFT energy (no corrections), eV per cell: -138.80

Unit cell a=5.0363 b=5.0363 c=15.9843 alpha=90.00 beta=90.00 gamma=120.00
With the nearest neighbours (Å) after each atom.
Element x y z (fractional)
Ni1 0.8309 0.6618 0.8750  6 Ni 2.46-2.55, 1 Al 2.48
Er1 0.6667 0.3333 0.2500  18 Ni 2.91-3.21
Ni2 0.8309 0.6618 0.6250  6 Ni 2.46-2.55, 1 Al 2.48
Er2 0.3333 0.6667 0.7500  18 Ni 2.91-3.21
Er3 0.3333 0.6667 0.5448  9 Ni 2.83-3.07, 3 Al 2.99
Er4 0.3333 0.6667 0.9552  9 Ni 2.83-3.07, 3 Al 2.99
Al1 0.0000 0.0000 0.5000  6 Ni 2.48
Ni3 0.3382 0.1691 0.8750  6 Ni 2.46-2.55, 1 Al 2.48
Er5 0.6667 0.3333 0.0448  9 Ni 2.83-3.07, 3 Al 2.99
Ni4 0.6618 0.8309 0.1250  6 Ni 2.46-2.55, 1 Al 2.48
Ni5 0.8309 0.1691 0.6250  6 Ni 2.46-2.55, 1 Al 2.48
Ni6 0.0000 0.0000 0.2500  6 Ni 2.48
Ni7 0.1691 0.8309 0.1250  6 Ni 2.46-2.55, 1 Al 2.48
Ni8 0.1691 0.3382 0.1250  6 Ni 2.46-2.55, 1 Al 2.48
Ni9 0.1691 0.8309 0.3750  6 Ni 2.46-2.55, 1 Al 2.48
Al2 0.0000 0.0000 0.0000  6 Ni 2.48
Ni10 0.6618 0.8309 0.3750  6 Ni 2.46-2.55, 1 Al 2.48
Ni11 0.3333 0.6667 0.2500  6 Ni 2.46
Er6 0.6667 0.3333 0.4552  9 Ni 2.83-3.07, 3 Al 2.99
Ni12 0.8309 0.1691 0.8750  6 Ni 2.46-2.55, 1 Al 2.48
Ni13 0.1691 0.3382 0.3750  6 Ni 2.46-2.55, 1 Al 2.48
Ni14 0.6667 0.3333 0.7500  6 Ni 2.46
Ni15 0.0000 0.0000 0.7500  6 Ni 2.48
Ni16 0.3382 0.1691 0.6250  6 Ni 2.46-2.55, 1 Al 2.48


What did the eighth record say?
This record from Alexandria describes crystalline Er3AlNi8 at its relaxed geometry. The functional is PBE-GGA.

Calculated values
Total DFT energy (no corrections), eV per cell: -138.80

Unit cell a=5.0363 b=5.0363 c=15.9843 alpha=90.00 beta=90.00 gamma=120.00
With the nearest neighbours (Å) after each atom.
Element x y z (fractional)
Ni1 0.8309 0.6618 0.8750  6 Ni 2.46-2.55, 1 Al 2.48
Er1 0.6667 0.3333 0.2500  18 Ni 2.91-3.21
Ni2 0.8309 0.6618 0.6250  6 Ni 2.46-2.55, 1 Al 2.48
Er2 0.3333 0.6667 0.7500  18 Ni 2.91-3.21
Er3 0.3333 0.6667 0.5448  9 Ni 2.83-3.07, 3 Al 2.99
Er4 0.3333 0.6667 0.9552  9 Ni 2.83-3.07, 3 Al 2.99
Al1 0.0000 0.0000 0.5000  6 Ni 2.48
Ni3 0.3382 0.1691 0.8750  6 Ni 2.46-2.55, 1 Al 2.48
Er5 0.6667 0.3333 0.0448  9 Ni 2.83-3.07, 3 Al 2.99
Ni4 0.6618 0.8309 0.1250  6 Ni 2.46-2.55, 1 Al 2.48
Ni5 0.8309 0.1691 0.6250  6 Ni 2.46-2.55, 1 Al 2.48
Ni6 0.0000 0.0000 0.2500  6 Ni 2.48
Ni7 0.1691 0.8309 0.1250  6 Ni 2.46-2.55, 1 Al 2.48
Ni8 0.1691 0.3382 0.1250  6 Ni 2.46-2.55, 1 Al 2.48
Ni9 0.1691 0.8309 0.3750  6 Ni 2.46-2.55, 1 Al 2.48
Al2 0.0000 0.0000 0.0000  6 Ni 2.48
Ni10 0.6618 0.8309 0.3750  6 Ni 2.46-2.55, 1 Al 2.48
Ni11 0.3333 0.6667 0.2500  6 Ni 2.46
Er6 0.6667 0.3333 0.4552  9 Ni 2.83-3.07, 3 Al 2.99
Ni12 0.8309 0.1691 0.8750  6 Ni 2.46-2.55, 1 Al 2.48
Ni13 0.1691 0.3382 0.3750  6 Ni 2.46-2.55, 1 Al 2.48
Ni14 0.6667 0.3333 0.7500  6 Ni 2.46
Ni15 0.0000 0.0000 0.7500  6 Ni 2.48
Ni16 0.3382 0.1691 0.6250  6 Ni 2.46-2.55, 1 Al 2.48